[1]
CrTc2Se | the Alexandria database | PBE | relaxed; crystal system = monoclinic; calculated total energy = -8.203 eV/atom; energy relative to the elements, uncorrected = 0.2565 eV/atom
1.0
9.1110 0.0000 0.0000
0.0000 2.9276 0.0000
-0.5030 0.0000 4.4271
Cr Tc Se
2 4 2
Cartesian
0.0000 0.0000 0.0000
4.5555 1.4638 0.0000
1.9267 1.4638 1.0004
2.1258 0.0000 3.4267
6.4823 0.0000 1.0004
6.6813 1.4638 3.4267
-0.2515 1.4638 2.2136
4.3040 0.0000 2.2136

=====

[2]
CrTc2Se | the Alexandria database | PBE | relaxed; crystal system = orthorhombic; calculated total energy = -7.988 eV/atom; energy relative to the elements, uncorrected = 0.4722 eV/atom
1.0
3.0413 0.0000 0.0000
0.0000 4.6190 0.0000
0.0000 0.0000 8.4925
Cr Tc Se
2 4 2
Cartesian
0.0000 0.0000 0.0000
1.5207 2.3095 0.0000
0.0000 2.3095 1.9272
0.0000 2.3095 6.5653
1.5207 0.0000 1.9272
1.5207 0.0000 6.5653
0.0000 0.0000 4.2462
1.5207 2.3095 4.2462

=====

[3]
CrTc2Se | the Alexandria database | PBE | relaxed; crystal system = tetragonal; calculated total energy = -7.676 eV/atom; energy relative to the elements, uncorrected = 0.7836 eV/atom
1.0
5.4731 0.0000 0.0000
0.0000 5.4731 0.0000
0.0000 0.0000 10.6370
Cr Tc Se
4 8 4
Cartesian
0.0000 0.0000 0.0000
0.0000 2.7366 2.6592
2.7366 0.0000 7.9777
2.7366 2.7366 5.3185
1.2483 1.3683 1.3296
1.3683 3.9848 3.9889
1.3683 4.2249 9.3073
1.4883 1.3683 6.6481
3.9848 4.1049 6.6481
4.1049 1.2483 9.3073
4.1049 1.4883 3.9889
4.2249 4.1049 1.3296
0.0000 0.0000 5.3185
0.0000 2.7366 7.9777
2.7366 0.0000 2.6592
2.7366 2.7366 0.0000

=====

[4]
Cr2TcSe2 | the Alexandria database | PBE | relaxed; energy above the most stable polymorph in this dataset = 155 meV per atom; crystal system = tetragonal; calculated total energy = -6.750 eV/atom; energy relative to the elements, uncorrected = 0.5666 eV/atom
1.0
4.3992 0.0000 0.0000
0.0000 4.3992 0.0000
0.0000 0.0000 8.0354
Cr Tc Se
4 2 4
Cartesian
0.0000 0.0000 0.9720
0.0000 0.0000 7.0634
2.1996 2.1996 3.0457
2.1996 2.1996 4.9897
0.0000 0.0000 4.0177
2.1996 2.1996 0.0000
0.0000 2.1996 2.0088
0.0000 2.1996 6.0265
2.1996 0.0000 2.0088
2.1996 0.0000 6.0265

=====

[5]
CrTcSe | the Alexandria database | PBE | relaxed; energy above the most stable polymorph in this dataset = 149 meV per atom; crystal system = orthorhombic; calculated total energy = -7.522 eV/atom; energy relative to the elements, uncorrected = 0.3029 eV/atom
1.0
3.0070 0.0000 0.0000
0.0000 3.9319 0.0000
0.0000 0.0000 7.3316
Cr Tc Se
2 2 2
Cartesian
0.0000 0.0000 0.0000
1.5035 1.9660 3.6658
0.0000 0.0000 2.4836
1.5035 1.9660 6.1494
0.0000 0.0000 4.9420
1.5035 1.9660 1.2762

=====

[6]
CrTcSe2 | the Alexandria database | PBE | relaxed; energy above the most stable polymorph in this dataset = 433 meV per atom; crystal system = tetragonal; calculated total energy = -6.558 eV/atom; energy relative to the elements, uncorrected = 0.1820 eV/atom
1.0
3.1136 0.0000 0.0000
0.0000 3.1136 0.0000
0.0000 0.0000 6.2339
Cr Tc Se
1 1 2
Cartesian
0.0000 0.0000 0.0000
0.0000 0.0000 3.1170
1.5568 1.5568 1.5402
1.5568 1.5568 4.6937

=====

[7]
CrTc2Se | the Alexandria database | PBE | relaxed; crystal system = trigonal; calculated total energy = -8.180 eV/atom; energy relative to the elements, uncorrected = 0.2804 eV/atom
1.0
2.8642 0.0000 0.0000
-1.4321 2.4805 0.0000
0.0000 0.0000 24.4665
Cr Tc Se
3 6 3
Cartesian
0.0000 0.0000 0.0000
0.0000 1.6536 16.3110
1.4321 0.8268 8.1555
0.0000 0.0000 6.1872
0.0000 0.0000 18.2793
0.0000 1.6536 10.1238
0.0000 1.6536 22.4982
1.4321 0.8268 1.9683
1.4321 0.8268 14.3427
0.0000 0.0000 12.2333
0.0000 1.6536 4.0778
1.4321 0.8268 20.3888

=====

[8]
CrTc3Se | the Alexandria database | PBE | relaxed; energy above the most stable polymorph in this dataset = 0 meV per atom; crystal system = cubic; calculated total energy = -7.483 eV/atom; energy relative to the elements, uncorrected = 1.3585 eV/atom
1.0
4.4597 0.0000 0.0000
0.0000 4.4597 0.0000
0.0000 0.0000 4.4597
Cr Tc Se
1 3 1
Cartesian
0.0000 0.0000 0.0000
0.0000 0.0000 2.2299
0.0000 2.2299 0.0000
2.2299 0.0000 0.0000
2.2299 2.2299 2.2299